# 1
## La5Mg4Sn (GGA-PBE)

Data for La5Mg4Sn after structural relaxation.

```
10
Lattice="3.968 0.000 0.000 0.000 3.968 0.000 0.000 0.000 19.748" Properties=species:S:1:pos:R:3 pbc="T T T"
Mg 0.000 0.000 11.865
Mg 0.000 0.000 3.995
Mg 0.000 0.000 15.753
Mg 0.000 0.000 7.882
La 1.984 1.984 1.949
La 1.984 1.984 9.874
La 1.984 1.984 17.799
La 1.984 1.984 5.893
La 1.984 1.984 13.855
Sn 0.000 0.000 0.000
```

## Properties
E_form, eV per atom: -0.24
Crystal system: tetragonal
Total magnetization, μB per formula unit: 0.000
Space-group type: P4/mmm



# 2
## NdTlRu (GGA-PBE)

Data for NdTlRu after structural relaxation.

```
6
Lattice="-3.934 -0.188 1.830 -2.210 -0.497 -4.814 3.055 -6.168 0.788" Properties=species:S:1:pos:R:3 pbc="T T T"
Nd -1.553 -4.830 1.355
Nd -1.547 -2.042 -3.512
Ru -0.392 -2.960 -1.113
Ru -2.707 -3.912 -1.045
Tl -2.453 -1.171 -0.203
Tl -0.646 -5.701 -1.954
```

## Properties
E_form, eV per atom: -0.15
Crystal system: triclinic
Total magnetization, μB per formula unit: 0.000
Space-group type: P-1



# 3
## NaTcTe2 (GGA-PBE)

Data for NaTcTe2 after structural relaxation.

```
4
Lattice="0.000 3.455 3.455 3.455 0.000 3.455 3.455 3.455 0.000" Properties=species:S:1:pos:R:3 pbc="T T T"
Te 5.183 5.183 5.183
Te 1.728 1.728 1.728
Na 0.000 0.000 0.000
Tc 3.455 3.455 3.455
```

## Properties
Crystal system: cubic
Energy above the most stable polymorph in this dataset, meV/atom: 131
Total magnetization, μB per formula unit: 0.000
Space-group type: Fm-3m
E_form (uncorrected), eV/atom: 0.046



# 4
## Tb5TlIr (GGA-PBE)

Data for Tb5TlIr after structural relaxation.

```
14
Lattice="-5.388 -0.582 2.639 1.362 -3.038 5.024 0.254 8.543 8.078" Properties=species:S:1:pos:R:3 pbc="T T T"
Tl -1.343 0.105 6.065
Tl -2.428 4.818 9.676
Tb -0.261 2.984 7.831
Tb -2.648 -0.466 2.993
Tb -1.124 5.388 12.748
Tb 1.402 -0.894 7.035
Tb -2.060 2.711 4.539
Tb -5.173 5.816 8.706
Tb 0.361 6.148 9.389
Tb -4.133 -1.226 6.352
Tb -1.712 2.211 11.201
Tb -3.510 1.939 7.910
Ir 0.000 0.000 0.000
Ir 0.127 4.272 4.039
```

## Properties
E_form, eV per atom: -0.27
Crystal system: monoclinic
Total magnetization, μB per formula unit: 0.000
Space-group type: C2/c



Number 1: DFT total energy -3.7400 eV per atom. Number 2: DFT total energy -5.6193 eV per atom. Number 3: DFT total energy -4.4462 eV per atom. Number 4: DFT total energy -5.1813 eV per atom.